DFT (PBE-GGA) results for a relaxed structure of Fe2NiCl.

Properties
The calculation puts the energy relative to the lowest polymorph listed for this composition at 0.549 eV/atom. As for the space group: F-43m. As for the calculated total energy: -5.4606 eV/atom. The value obtained for the formation energy from raw total energies is 2.71 eV per formula unit.

Lattice parameters (Å, degrees): 4.2263 4.2263 4.2263 60.00 60.00 60.00
Site moments in Bohr magnetons follow the coordinates.
Positions (direct):
Ni 0.7500 0.7500 0.7500  0.68
Fe 0.0000 0.0000 0.0000  2.89
Fe 0.2500 0.2500 0.2500  2.67
Cl 0.5000 0.5000 0.5000  0.13

DFT (PBE-GGA) results for a relaxed structure of Pr2Mn2Co15.

Properties
As for the space group: R-3m. As for the calculated total energy: -7.1116 eV/atom. The calculated formation energy comes out at -0.033 eV/atom.

Lattice parameters (Å, degrees): 6.3678 6.3678 6.3678 83.04 83.04 83.04
Site moments in Bohr magnetons follow the coordinates.
Positions (direct):
Pr 0.3485 0.3485 0.3485  -0.22
Pr 0.6515 0.6515 0.6515  -0.22
Mn 0.1038 0.1038 0.1038  3.13
Mn 0.8962 0.8962 0.8962  3.13
Co 0.5000 0.0000 0.0000  1.50
Co 0.0000 0.0000 0.5000  1.50
Co 0.0000 0.5000 0.0000  1.50
Co 0.0000 0.7166 0.2834  1.59
Co 0.7166 0.2834 0.0000  1.59
Co 0.2834 0.0000 0.7166  1.59
Co 0.2834 0.7166 0.0000  1.59
Co 0.7166 0.0000 0.2834  1.59
Co 0.0000 0.2834 0.7166  1.59
Co 0.1506 0.6551 0.6551  1.50
Co 0.6551 0.6551 0.1506  1.50
Co 0.6551 0.1506 0.6551  1.50
Co 0.8494 0.3449 0.3449  1.50
Co 0.3449 0.3449 0.8494  1.50
Co 0.3449 0.8494 0.3449  1.50

DFT (PBE-GGA) results for a relaxed structure of Li2Tb2ThMg5.

Properties
As for the space group: P4/mbm. As for the calculated total energy: -2.8200 eV/atom. The calculated formation energy comes out at 0.028 eV/atom.

Lattice parameters (Å, degrees): 4.4636 10.5773 10.5773 90.00 90.00 90.00
Positions (direct):
Li 0.0000 0.1116 0.6116
Li 0.0000 0.8884 0.3884
Li 0.0000 0.6116 0.8884
Li 0.0000 0.3884 0.1116
Tb 0.0000 0.6828 0.1828
Tb 0.0000 0.3172 0.8172
Tb 0.0000 0.1828 0.3172
Tb 0.0000 0.8172 0.6828
Th 0.0000 0.0000 0.0000
Th 0.0000 0.5000 0.5000
Mg 0.5000 0.2191 0.0599
Mg 0.5000 0.7809 0.9401
Mg 0.5000 0.0599 0.7809
Mg 0.5000 0.7191 0.4401
Mg 0.5000 0.9401 0.2191
Mg 0.5000 0.2809 0.5599
Mg 0.5000 0.5599 0.7191
Mg 0.5000 0.4401 0.2809
Mg 0.5000 0.5000 0.0000
Mg 0.5000 0.0000 0.5000

DFT (PBE-GGA) results for a relaxed structure of TaAl4Se.

Properties
As for the space group: F-43m. As for the calculated total energy: -5.0076 eV/atom. The value obtained for the formation energy from raw total energies is 0.26 eV per formula unit.

Lattice parameters (Å, degrees): 5.2218 5.2218 5.2218 60.00 60.00 60.00
Positions (direct):
Ta 0.0000 0.0000 0.0000
Al 0.8781 0.3740 0.3740
Al 0.3740 0.3740 0.8781
Al 0.3740 0.8781 0.3740
Al 0.3740 0.3740 0.3740
Se 0.7500 0.7500 0.7500